# GdCrO4 | Alexandria | GGA+U | relaxed
# raw total energy	-9.198	eV/atom
# total moment	24.00	μB per cell
data_GdCrO4
_chemical_formula_sum 'Gd4 Cr4 O16'
_cell_length_a 7.301
_cell_length_b 7.301
_cell_length_c 6.348
_cell_angle_alpha 90.00
_cell_angle_beta 90.00
_cell_angle_gamma 90.00
_symmetry_space_group_name_H-M 'I 41/a m d'
_symmetry_Int_Tables_number 141
loop_
_symmetry_equiv_pos_as_xyz
'x,y,z'
'-x,-y,-z'
'-y+1/4,x+3/4,z+1/4'
'y+1/4,-x+3/4,-z+1/4'
'-x+1/2,-y,z+1/2'
'x+1/2,y,-z+1/2'
'y+1/4,-x+1/4,z+3/4'
'-y+1/4,x+1/4,-z+3/4'
'x,-y,-z'
'-x,y,z'
'-y+1/4,-x+1/4,-z+3/4'
'y+1/4,x+1/4,z+3/4'
'-x+1/2,y,-z+1/2'
'x+1/2,-y,z+1/2'
'y+1/4,x+3/4,-z+1/4'
'-y+1/4,-x+3/4,z+1/4'
'x+1/2,y+1/2,z+1/2'
'-x+1/2,-y+1/2,-z+1/2'
'-y+3/4,x+1/4,z+3/4'
'y+3/4,-x+1/4,-z+3/4'
'-x,-y+1/2,z'
'x,y+1/2,-z'
'y+3/4,-x+3/4,z+1/4'
'-y+3/4,x+3/4,-z+1/4'
'x+1/2,-y+1/2,-z+1/2'
'-x+1/2,y+1/2,z+1/2'
'-y+3/4,-x+3/4,-z+1/4'
'y+3/4,x+3/4,z+1/4'
'-x,y+1/2,-z'
'x,-y+1/2,z'
'y+3/4,x+1/4,-z+3/4'
'-y+3/4,-x+1/4,z+3/4'
loop_
_atom_site_label
_atom_site_fract_x
_atom_site_fract_y
_atom_site_fract_z
Gd1 0.000 0.250 0.375
Cr1 0.000 0.250 0.875
O1 0.000 0.067 0.703